A.
A relaxed CsHg4Au4 crystal, computed with GGA-PBE.

Cell: 9.7231 9.7231 5.5171 Å, 90.00 90.00 90.00°
Space group P4_2/n (No. 86, origin choice 2)
One atom of each set of equivalent atoms:
Cs  0.2500  0.2500  0.2500
Hg  0.1196  0.6242  0.1530
Au  0.0714  0.9156  0.1587



B.
A relaxed CsHg4Au4 crystal, computed with GGA-PBE.

Cell: 7.2067 7.2067 9.4172 Å, 90.00 90.00 90.00°
Space group P4_2/nmc (No. 137, origin choice 2)
One atom of each set of equivalent atoms:
Cs  0.2500  0.7500  0.2500
Hg  0.0011  0.7500  0.6160
Au  0.0593  0.2500  0.0805



Question: which arrangement is favored energetically? Ranking from most to least stable: B, A.



A.
A relaxed Cs4Hg2Au crystal, computed with GGA-PBE.

Cell: 6.8032 6.8032 21.1831 Å, 90.00 90.00 90.00°
Space group I4/mmm (No. 139)
One atom of each set of equivalent atoms:
Cs  0.0000  0.0000  0.1862
Cs  0.0000  0.5000  0.0000
Hg  0.0000  0.0000  0.3657
Au  0.0000  0.0000  0.5000



B.
A relaxed Cs4Hg2Au crystal, computed with GGA-PBE.

Cell: 20.0129 5.3293 7.6976 Å, 90.00 99.45 90.00°
Space group C2/m (No. 12)
One atom of each set of equivalent atoms:
Cs  0.0806  0.0000  0.2801
Cs  0.1600  0.5000  0.8385
Hg  0.2345  0.5000  0.3918
Au  0.0000  0.5000  0.0000



C.
A relaxed Cs4Hg2Au crystal, computed with GGA-PBE.

Cell: 8.4104 8.5339 12.1059 Å, 90.00 109.66 90.00°
Space group P2_1/m (No. 11)
One atom of each set of equivalent atoms:
Cs  0.0291  0.0074  0.2785
Cs  0.3980  0.2500  0.0657
Cs  0.4581  0.2500  0.6451
Hg  0.1431  0.7500  0.0286
Hg  0.2466  0.7500  0.5701
Au  0.3917  0.2500  0.3470



Question: which arrangement is favored energetically? Ranking from most to least stable: B, C, A.



A.
A relaxed Cs3HgAu2 crystal, computed with GGA-PBE.

Cell: 14.3384 5.1793 14.7810 Å, 90.00 90.00 90.00°
Space group Pnma (No. 62)
One atom of each set of equivalent atoms:
Cs  0.0590  0.2500  0.1217
Cs  0.1245  0.7500  0.5569
Cs  0.1956  0.2500  0.8036
Hg  0.1291  0.2500  0.3684
Au  0.0367  0.7500  0.3179
Au  0.1879  0.7500  0.9792



B.
A relaxed Cs3HgAu2 crystal, computed with GGA-PBE.

Cell: 4.4486 4.4486 13.3425 Å, 90.00 90.00 90.00°
Space group P4/mmm (No. 123)
One atom of each set of equivalent atoms:
Cs  0.0000  0.0000  0.0000
Cs  0.0000  0.0000  0.3135
Hg  0.5000  0.5000  0.5000
Au  0.5000  0.5000  0.1662



Question: which arrangement is favored energetically? Ranking from most to least stable: A, B.



A.
A relaxed Cs3Hg2Au2 crystal, computed with GGA-PBE.

Cell: 13.4746 5.0071 9.7127 Å, 90.00 113.71 90.00°
Space group C2/m (No. 12)
One atom of each set of equivalent atoms:
Cs  0.0000  0.0000  0.0000
Cs  0.1982  0.0000  0.6615
Hg  0.0108  0.5000  0.3318
Au  0.1982  0.5000  0.9309



B.
A relaxed Cs3Hg2Au2 crystal, computed with GGA-PBE.

Cell: 5.0525 5.2354 22.6521 Å, 90.00 90.00 90.00°
Space group Immm (No. 71)
One atom of each set of equivalent atoms:
Cs  0.0000  0.0000  0.0000
Cs  0.0000  0.5000  0.3213
Hg  0.0000  0.5000  0.1361
Au  0.0000  0.0000  0.4366



Question: which arrangement is favored energetically? Ranking from most to least stable: A, B.